# MnAu

MnAu after structural relaxation (GGA-PBE, the Alexandria database).

Cell and atoms, written as CIF:
```
data_MnAu
_symmetry_space_group_name_H-M 'P 63/m m c'
_symmetry_Int_Tables_number 194
_symmetry_space_group_name_Hall '-P 6c 2c'
_cell_length_a 3.9225
_cell_length_b 3.9225
_cell_length_c 5.9011
_cell_angle_alpha 90.00
_cell_angle_beta 90.00
_cell_angle_gamma 120.00
loop_
_atom_site_label
_atom_site_type_symbol
_atom_site_fract_x
_atom_site_fract_y
_atom_site_fract_z
Mn1 Mn 0.3333 0.6667 0.2500
Au1 Au 0.0000 0.0000 0.0000
```

Final energy   -23.81 eV for the cell shown
Formation energy from the elements   0.270 eV per atom

---

# Mn7Au

Mn7Au after structural relaxation (GGA-PBE, the Alexandria database).

Cell and atoms, written as CIF:
```
data_Mn7Au
_symmetry_space_group_name_H-M 'F m -3 m'
_symmetry_Int_Tables_number 225
_symmetry_space_group_name_Hall '-F 4 2 3'
_cell_length_a 7.274
_cell_length_b 7.274
_cell_length_c 7.274
_cell_angle_alpha 90.00
_cell_angle_beta 90.00
_cell_angle_gamma 90.00
loop_
_atom_site_label
_atom_site_type_symbol
_atom_site_fract_x
_atom_site_fract_y
_atom_site_fract_z
Mn1 Mn 0.000 0.000 0.000
Mn2 Mn 0.000 0.250 0.250
Au1 Au 0.000 0.000 0.500
```

Final energy   -261.72 eV for the cell shown
Formation energy from the elements   0.254 eV per atom

---

# MnAu6

MnAu6 after structural relaxation (GGA-PBE, the Alexandria database).

Cell and atoms, written as CIF:
```
data_MnAu6
_symmetry_space_group_name_H-M 'I m -3 m'
_symmetry_Int_Tables_number 229
_symmetry_space_group_name_Hall '-I 4 2 3'
_cell_length_a 7.478
_cell_length_b 7.478
_cell_length_c 7.478
_cell_angle_alpha 90.00
_cell_angle_beta 90.00
_cell_angle_gamma 90.00
loop_
_atom_site_label
_atom_site_type_symbol
_atom_site_fract_x
_atom_site_fract_y
_atom_site_fract_z
Mn1 Mn 0.000 0.000 0.000
Au1 Au 0.000 0.250 0.500
```

Final energy   -45.49 eV for the cell shown
ΔE to the lowest computed polymorph   19.60 kcal/mol of atoms
Formation energy from the elements   0.870 eV per atom

---

# Mn3Au2

Mn3Au2 after structural relaxation (GGA-PBE, the Alexandria database).

Cell and atoms, written as CIF:
```
data_Mn3Au2
_symmetry_space_group_name_H-M 'R -3 m'
_symmetry_Int_Tables_number 166
_symmetry_space_group_name_Hall '-R 3 2"'
_cell_length_a 2.9269
_cell_length_b 2.9269
_cell_length_c 31.8457
_cell_angle_alpha 90.00
_cell_angle_beta 90.00
_cell_angle_gamma 120.00
loop_
_atom_site_label
_atom_site_type_symbol
_atom_site_fract_x
_atom_site_fract_y
_atom_site_fract_z
Mn1 Mn 0.0000 0.0000 0.0000
Mn2 Mn 0.0000 0.0000 0.3928
Au1 Au 0.0000 0.0000 0.2057
```

Final energy   -99.26 eV for the cell shown
Formation energy from the elements   0.195 eV per atom

---

no.,volume (A^3/atom)
1,19.66
2,12.03
3,29.87
4,15.75